[1]
First-principles (meta-GGA SCAN) data for a crystal of LiTi3P3O13 relaxed with PBEsol, as listed in Alexandria via LeMat-Bulk.

a = 7.554 Å, b = 6.315 Å, c = 10.458 Å
α = 90.00°, β = 99.90°, γ = 90.00°
Fractional positions:
Li: 0.110 0.250 0.135
Li: 0.890 0.750 0.865
Ti: 0.138 0.250 0.807
Ti: 0.281 0.750 0.446
Ti: 0.500 0.000 0.000
Ti: 0.500 0.500 0.000
Ti: 0.719 0.250 0.554
Ti: 0.862 0.750 0.193
P: 0.196 0.750 0.122
P: 0.223 0.750 0.768
P: 0.277 0.250 0.518
P: 0.723 0.750 0.482
P: 0.777 0.250 0.232
P: 0.804 0.250 0.878
O: 0.002 0.750 0.043
O: 0.109 0.559 0.795
O: 0.109 0.941 0.795
O: 0.153 0.750 0.263
O: 0.172 0.250 0.629
O: 0.233 0.053 0.434
O: 0.233 0.447 0.434
O: 0.270 0.750 0.631
O: 0.296 0.546 0.098
O: 0.296 0.954 0.098
O: 0.362 0.250 0.906
O: 0.402 0.750 0.871
O: 0.483 0.250 0.575
O: 0.517 0.750 0.425
O: 0.598 0.250 0.129
O: 0.638 0.750 0.094
O: 0.704 0.046 0.902
O: 0.704 0.454 0.902
O: 0.730 0.250 0.369
O: 0.767 0.553 0.566
O: 0.767 0.947 0.566
O: 0.828 0.750 0.371
O: 0.847 0.250 0.737
O: 0.891 0.059 0.205
O: 0.891 0.441 0.205
O: 0.998 0.250 0.957

Values from the calculation:
Crystal system: monoclinic
Total energy: -0.4022 hartree per atom
Fermi-level density of states: 6.2 states/eV/f.u.
Formation energy from raw total energies: -2809 meV per atom

=====

[2]
First-principles (meta-GGA SCAN) data for a crystal of BiHBr2 relaxed with PBEsol, as listed in Alexandria via LeMat-Bulk.

a = 6.555 Å, b = 6.555 Å, c = 6.555 Å
α = 124.94°, β = 124.94°, γ = 81.63°
Fractional positions:
Bi: 0.000 0.000 0.000
Bi: 0.750 0.250 0.500
H: 0.250 0.750 0.500
H: 0.500 0.500 0.000
Br: 0.260 0.625 0.135
Br: 0.375 0.510 0.635
Br: 0.490 0.125 0.865
Br: 0.875 0.740 0.365

Values from the calculation:
Crystal system: tetragonal
Total energy: -1.0964 hartree per atom
Fermi-level density of states: 0.8 states/eV/f.u.

=====

[3]
First-principles (meta-GGA SCAN) data for a crystal of CeB2Ru2 relaxed with PBEsol, as listed in Alexandria via LeMat-Bulk.

a = 6.634 Å, b = 5.919 Å, c = 5.487 Å
α = 71.01°, β = 57.54°, γ = 51.45°
Fractional positions:
Ce: 0.125 0.125 0.125
Ce: 0.875 0.875 0.875
B: 0.191 0.559 0.191
B: 0.441 0.809 0.441
B: 0.559 0.191 0.559
B: 0.809 0.441 0.809
Ru: 0.237 0.237 0.513
Ru: 0.487 0.487 0.763
Ru: 0.513 0.513 0.237
Ru: 0.763 0.763 0.487

Values from the calculation:
Crystal system: orthorhombic
Total energy: -0.9709 hartree per atom
Fermi-level density of states: 3.2 states/eV/f.u.

=====

[4]
First-principles (meta-GGA SCAN) data for a crystal of Cs2In2Sb3 relaxed with PBEsol, as listed in Alexandria via LeMat-Bulk.

a = 15.810 Å, b = 7.567 Å, c = 17.916 Å
α = 90.00°, β = 90.74°, γ = 90.00°
Fractional positions:
Cs: 0.054 0.051 0.102
Cs: 0.054 0.449 0.602
Cs: 0.152 0.540 0.019
Cs: 0.152 0.960 0.519
Cs: 0.359 0.022 0.006
Cs: 0.359 0.478 0.506
Cs: 0.426 0.530 0.109
Cs: 0.426 0.970 0.609
Cs: 0.574 0.030 0.391
Cs: 0.574 0.470 0.891
Cs: 0.641 0.522 0.494
Cs: 0.641 0.978 0.994
Cs: 0.848 0.040 0.481
Cs: 0.848 0.460 0.981
Cs: 0.946 0.551 0.398
Cs: 0.946 0.949 0.898
In: 0.095 0.738 0.258
In: 0.095 0.762 0.758
In: 0.184 0.219 0.326
In: 0.184 0.281 0.826
In: 0.320 0.733 0.318
In: 0.320 0.767 0.818
In: 0.406 0.210 0.269
In: 0.406 0.290 0.769
In: 0.594 0.710 0.231
In: 0.594 0.790 0.731
In: 0.680 0.233 0.182
In: 0.680 0.267 0.682
In: 0.816 0.719 0.174
In: 0.816 0.781 0.674
In: 0.905 0.238 0.242
In: 0.905 0.262 0.742
Sb: 0.024 0.041 0.334
Sb: 0.024 0.459 0.834
Sb: 0.175 0.566 0.384
Sb: 0.175 0.934 0.884
Sb: 0.248 0.668 0.676
Sb: 0.248 0.832 0.176
Sb: 0.254 0.210 0.179
Sb: 0.254 0.290 0.679
Sb: 0.333 0.054 0.399
Sb: 0.333 0.446 0.899
Sb: 0.475 0.535 0.325
Sb: 0.475 0.965 0.825
Sb: 0.525 0.035 0.175
Sb: 0.525 0.465 0.675
Sb: 0.667 0.554 0.101
Sb: 0.667 0.946 0.601
Sb: 0.746 0.710 0.321
Sb: 0.746 0.790 0.821
Sb: 0.752 0.168 0.824
Sb: 0.752 0.332 0.324
Sb: 0.825 0.066 0.116
Sb: 0.825 0.434 0.616
Sb: 0.976 0.541 0.166
Sb: 0.976 0.959 0.666

Values from the calculation:
Crystal system: monoclinic
Total energy: -1.3511 hartree per atom
Formation energy from raw total energies: -455 meV per atom

=====

[5]
First-principles (meta-GGA SCAN) data for a crystal of BaBiRu2O relaxed with PBEsol, as listed in Alexandria via LeMat-Bulk.

a = 5.053 Å, b = 5.053 Å, c = 4.646 Å
α = 90.00°, β = 90.00°, γ = 90.00°
Fractional positions:
Ba: 0.000 0.000 0.000
Bi: 0.500 0.500 0.500
Ru: 0.000 0.500 0.500
Ru: 0.500 0.000 0.500
O: 0.500 0.500 0.000

Values from the calculation:
Crystal system: tetragonal
Total energy: -1.4030 hartree per atom
Fermi-level density of states: 4.6 states/eV/f.u.
Formation energy from raw total energies: 625 meV per atom

=====

[6]
First-principles (meta-GGA SCAN) data for a crystal of Mg2CuBRu relaxed with PBEsol, as listed in Alexandria via LeMat-Bulk.

a = 4.390 Å, b = 4.390 Å, c = 3.889 Å
α = 90.00°, β = 90.00°, γ = 90.00°
Fractional positions:
Mg: 0.000 0.500 0.000
Mg: 0.500 0.000 0.000
Cu: 0.000 0.000 0.500
B: 0.500 0.500 0.000
Ru: 0.500 0.500 0.500

Values from the calculation:
Crystal system: tetragonal
Total energy: -0.4868 hartree per atom
Fermi-level density of states: 2.0 states/eV/f.u.